No. 1
TbMnFe: relaxed, GGA-PBE.

a b c (Å): 5.084 5.084 13.277
angles (deg): 78.96 78.96 60.00
Last column: magnetic moment on the atom in μB.
Fractional positions:
Mn 0.500 0.500 0.500  2.46
Mn 0.389 0.389 0.832  2.44
Mn 0.000 0.500 0.000  0.08
Mn 0.500 0.000 0.000  0.08
Mn 0.500 0.500 0.000  0.08
Mn 0.611 0.611 0.168  2.44
Tb 0.737 0.737 0.789  -0.34
Tb 0.041 0.041 0.877  -0.19
Tb 0.959 0.959 0.123  -0.19
Tb 0.263 0.263 0.211  -0.34
Tb 0.819 0.819 0.544  -0.45
Tb 0.181 0.181 0.456  -0.45
Fe 0.280 0.774 0.666  1.86
Fe 0.720 0.226 0.334  1.86
Fe 0.226 0.720 0.334  1.86
Fe 0.280 0.280 0.666  1.86
Fe 0.720 0.720 0.334  1.86
Fe 0.774 0.280 0.666  1.86

Fermi-level density of states, states/eV/atom: 1.291
Total energy, eV per atom: -7.365
ΔE_f, kcal/mol of atoms: 1.3

=====

No. 2
KSc3Cd: relaxed, GGA-PBE.

a b c (Å): 5.523 5.523 5.523
angles (deg): 90.00 90.00 90.00
Last column: magnetic moment on the atom in μB.
Fractional positions:
Sc 0.000 0.500 0.000  0.29
Sc 0.500 0.000 0.000  0.44
Sc 0.000 0.000 0.500  0.20
Cd 0.000 0.000 0.000  0.03
K 0.500 0.500 0.500  0.02

Distance to the lowest polymorph of the same formula, meV per atom: 0
Fermi-level density of states, states/eV/atom: 0.315
Total energy, eV per atom: -3.622
ΔE_f, kcal/mol of atoms: 13.4

=====

No. 3
SrPaTeO5: relaxed, GGA-PBE.

a b c (Å): 6.873 6.873 8.481
angles (deg): 116.71 116.71 99.75
Fractional positions:
O 0.417 0.297 0.263
O 0.294 0.927 0.541
O 0.703 0.583 0.237
O 0.927 0.294 0.041
O 0.961 0.039 0.250
O 0.073 0.706 0.959
O 0.706 0.073 0.459
O 0.583 0.703 0.737
O 0.297 0.417 0.763
O 0.039 0.961 0.750
Te 0.693 0.307 0.250
Te 0.307 0.693 0.750
Pa 0.000 0.000 0.000
Pa 0.000 0.000 0.500
Sr 0.662 0.338 0.750
Sr 0.338 0.662 0.250

Formation energy (no corrections), eV per atom: -2.558
Fermi-level density of states, states/eV/atom: 0.201
Total energy, eV per atom: -7.447

=====

No. 4
CuTcOF2: relaxed, GGA-PBE.

a b c (Å): 3.953 3.953 3.954
angles (deg): 90.00 90.00 90.00
Last column: magnetic moment on the atom in μB.
Fractional positions:
Cu 0.000 0.000 0.000  0.12
Tc 0.500 0.500 0.500  4.18
F 0.000 0.500 0.000  0.08
F 0.500 0.000 0.000  0.08
O 0.000 0.000 0.500  0.15

Distance to the lowest polymorph of the same formula, meV per atom: 367
Formation energy (no corrections), eV per atom: -0.476
Fermi-level density of states, states/eV/atom: 0.322
Total energy, eV per atom: -5.109

=====

No. 5
Cs2PtW: relaxed, GGA-PBE.

a b c (Å): 5.634 5.634 5.634
angles (deg): 60.00 60.00 60.00
Last column: magnetic moment on the atom in μB.
Fractional positions:
Cs 0.250 0.250 0.250  0.10
Cs 0.750 0.750 0.750  0.10
W 0.000 0.000 0.000  3.50
Pt 0.500 0.500 0.500  0.27

Fermi-level density of states, states/eV/atom: 0.709
Total energy, eV per atom: -3.308
ΔE_f, kcal/mol of atoms: 43.1

=====

No. 6
Ce7AlOs2: relaxed, GGA-PBE.

a b c (Å): 5.172 7.969 7.969
angles (deg): 113.63 90.00 90.00
Last column: magnetic moment on the atom in μB.
Fractional positions:
Ce 0.500 0.500 0.500  0.34
Ce 0.000 0.276 0.724  0.42
Ce 0.500 0.720 0.945  0.61
Ce 0.000 0.724 0.276  0.42
Ce 0.500 0.280 0.055  0.61
Ce 0.500 0.945 0.720  0.61
Ce 0.500 0.055 0.280  0.61
Os 0.500 0.690 0.310  -0.06
Os 0.500 0.310 0.690  -0.06
Al 0.000 0.000 0.000  -0.01

Fermi-level density of states, states/eV/atom: 2.899
Total energy, eV per atom: -6.712
ΔE_f, kcal/mol of atoms: 1.4

=====

No. 7
SrCaOs2: relaxed, GGA-PBE.

a b c (Å): 8.201 8.201 6.379
angles (deg): 50.00 50.00 90.00
Last column: magnetic moment on the atom in μB.
Fractional positions:
Ca 0.250 0.750 0.500  -0.01
Ca 0.500 0.500 0.000  -0.01
Os 0.375 0.385 0.750  0.36
Os 0.135 0.625 0.250  0.36
Os 0.615 0.125 0.250  0.36
Os 0.875 0.865 0.750  0.36
Sr 0.000 0.000 0.000  -0.01
Sr 0.750 0.250 0.500  -0.01

Distance to the lowest polymorph of the same formula, meV per atom: 798
Fermi-level density of states, states/eV/atom: 1.090
Total energy, eV per atom: -5.340
ΔE_f, kcal/mol of atoms: 27.6

=====

No. 8
TlRe3Pt: relaxed, GGA-PBE.

a b c (Å): 4.815 4.815 4.815
angles (deg): 90.00 90.00 90.00
Last column: magnetic moment on the atom in μB.
Fractional positions:
Re 0.500 0.000 0.000  0.80
Re 0.000 0.000 0.500  1.00
Re 0.000 0.500 0.000  0.76
Pt 0.000 0.000 0.000  -0.03
Tl 0.500 0.500 0.500  0.03

Distance to the lowest polymorph of the same formula, meV per atom: 0
Fermi-level density of states, states/eV/atom: 1.367
Total energy, eV per atom: -6.792
ΔE_f, kcal/mol of atoms: 54.4

=====

> Fermi-level density of states of number 6 (Ce7AlOs2)?

2.899 states/eV/atom

=====

> Which value of total energy does entry 5 give?

-3.308 eV per atom